Entry 1:
{"formula": "HgOsPt2", "functional": "GGA-PBE", "state": "relaxed", "spacegroup": "R3m (160)", "n_ef_per_ev_fu": 5.5, "total_energy_ev_per_cell": -22.33, "e_form_ev_per_atom": 0.321, "vol_a3_per_fu": 66.0, "total_magnetization_mub_per_cell": 0.000, "cell": [[1.422, 0.821, 9.419], [-1.422, 0.821, 9.419], [0.000, -1.642, 9.419]], "species": ["Hg", "Os", "Pt", "Pt"], "frac_coords": [[0.000, 0.000, 0.000], [0.245, 0.245, 0.245], [0.503, 0.503, 0.503], [0.755, 0.755, 0.755]]}



Entry 2:
{"formula": "Hg2OsPt", "functional": "GGA-PBE", "state": "relaxed", "spacegroup": "P4/mmm (123)", "n_ef_per_ev_fu": 4.2, "total_energy_ev_per_cell": -15.08, "e_form_ev_per_atom": 0.697, "vol_a3_per_fu": 71.0, "total_magnetization_mub_per_cell": 0.000, "e_above_lowest_polymorph_ev_per_atom": 0.231, "cell": [[4.218, 0.000, 0.000], [0.000, 4.218, 0.000], [0.000, 0.000, 3.991]], "species": ["Hg", "Hg", "Os", "Pt"], "frac_coords": [[0.000, 0.500, 0.000], [0.500, 0.000, 0.000], [0.000, 0.000, 0.500], [0.500, 0.500, 0.500]]}